A plane-wave DFT calculation with PBE-GGA was carried out for an optimized crystal structure of TlTcPbN2.

CIF file:
```
data_TlTcPbN2
_cell_length_a 4.024
_cell_length_b 4.024
_cell_length_c 5.688
_cell_angle_alpha 90.00
_cell_angle_beta 90.00
_cell_angle_gamma 90.00
_symmetry_space_group_name_H-M 'P 4/m m m'
_symmetry_Int_Tables_number 123
_symmetry_space_group_name_Hall '-P 4 2'
loop_
_atom_site_label
_atom_site_type_symbol
_atom_site_fract_x
_atom_site_fract_y
_atom_site_fract_z
_atom_site_occupancy
Tl1 Tl 0.000 0.000 0.000 1
Tc1 Tc 0.000 0.000 0.500 1
Pb1 Pb 0.500 0.500 0.000 1
N1 N 0.000 0.500 0.500 1
```

Output
ΔE_f (raw) ... 0.84 eV per atom
Mass density ... 9.7 g/cm³
Electronic total energy ... -28.9 eV per formula unit



A plane-wave DFT calculation with PBE-GGA was carried out for an optimized crystal structure of Zr2TcPbN.

CIF file:
```
data_Zr2TcPbN
_cell_length_a 5.461
_cell_length_b 5.461
_cell_length_c 4.115
_cell_angle_alpha 90.00
_cell_angle_beta 90.00
_cell_angle_gamma 90.00
_symmetry_space_group_name_H-M 'P 4/m m m'
_symmetry_Int_Tables_number 123
_symmetry_space_group_name_Hall '-P 4 2'
loop_
_atom_site_label
_atom_site_type_symbol
_atom_site_fract_x
_atom_site_fract_y
_atom_site_fract_z
_atom_site_occupancy
Zr1 Zr 0.000 0.500 0.000 1
Tc1 Tc 0.000 0.000 0.500 1
Pb1 Pb 0.500 0.500 0.000 1
N1 N 0.500 0.500 0.500 1
```

Output
ΔE_f (raw) ... 1.96 eV per atom
Mass density ... 6.8 g/cm³
Electronic total energy ... -29.7 eV per formula unit



A plane-wave DFT calculation with PBE-GGA was carried out for an optimized crystal structure of TePbN3.

CIF file:
```
data_TePbN3
_cell_length_a 4.081
_cell_length_b 4.081
_cell_length_c 4.081
_cell_angle_alpha 90.00
_cell_angle_beta 90.00
_cell_angle_gamma 90.00
_symmetry_space_group_name_H-M 'P m -3 m'
_symmetry_Int_Tables_number 221
_symmetry_space_group_name_Hall '-P 4 2 3'
loop_
_atom_site_label
_atom_site_type_symbol
_atom_site_fract_x
_atom_site_fract_y
_atom_site_fract_z
_atom_site_occupancy
Te1 Te 0.000 0.000 0.000 1
Pb1 Pb 0.500 0.500 0.500 1
N1 N 0.000 0.000 0.500 1
```

Output
ΔE_f (raw) ... 1.29 eV per atom
Mass density ... 9.2 g/cm³
Electronic total energy ... -25.4 eV per formula unit



A plane-wave DFT calculation with PBE-GGA was carried out for an optimized crystal structure of Te2PbN2.

CIF file:
```
data_Te2PbN2
_cell_length_a 4.766
_cell_length_b 4.766
_cell_length_c 4.555
_cell_angle_alpha 90.00
_cell_angle_beta 90.00
_cell_angle_gamma 90.00
_symmetry_space_group_name_H-M 'P 4/m m m'
_symmetry_Int_Tables_number 123
_symmetry_space_group_name_Hall '-P 4 2'
loop_
_atom_site_label
_atom_site_type_symbol
_atom_site_fract_x
_atom_site_fract_y
_atom_site_fract_z
_atom_site_occupancy
Te1 Te 0.000 0.500 0.000 1
Pb1 Pb 0.000 0.000 0.500 1
N1 N 0.500 0.500 0.000 1
N2 N 0.500 0.500 0.500 1
```

Output
ΔE_f (raw) ... 1.39 eV per atom
Mass density ... 7.9 g/cm³
Electronic total energy ... -19.7 eV per formula unit



A plane-wave DFT calculation with PBE-GGA was carried out for an optimized crystal structure of TePbN.

CIF file:
```
data_TePbN
_cell_length_a 6.869
_cell_length_b 3.693
_cell_length_c 11.133
_cell_angle_alpha 90.00
_cell_angle_beta 93.90
_cell_angle_gamma 90.00
_symmetry_space_group_name_H-M 'C 1 m 1'
_symmetry_Int_Tables_number 8
loop_
_symmetry_equiv_pos_as_xyz
'x,y,z'
'x,-y,z'
'x+1/2,y+1/2,z'
'x+1/2,-y+1/2,z'
loop_
_atom_site_label
_atom_site_type_symbol
_atom_site_fract_x
_atom_site_fract_y
_atom_site_fract_z
_atom_site_occupancy
Te1 Te 0.000 0.000 0.000 1
Te2 Te 0.128 0.500 0.805 1
Pb1 Pb 0.140 0.000 0.539 1
Pb2 Pb 0.284 0.500 0.247 1
N1 N 0.470 0.000 0.143 1
N2 N 0.478 0.000 0.631 1
```

Output
ΔE_f (raw) ... 0.61 eV per atom
Mass density ... 8.2 g/cm³
Electronic total energy ... -13.3 eV per formula unit



A plane-wave DFT calculation with PBE-GGA was carried out for an optimized crystal structure of TePbN2.

CIF file:
```
data_TePbN2
_cell_length_a 5.559
_cell_length_b 5.559
_cell_length_c 10.692
_cell_angle_alpha 90.00
_cell_angle_beta 90.00
_cell_angle_gamma 90.00
_symmetry_space_group_name_H-M 'I -4 2 d'
_symmetry_Int_Tables_number 122
_symmetry_space_group_name_Hall 'I -4 2bw'
loop_
_atom_site_label
_atom_site_type_symbol
_atom_site_fract_x
_atom_site_fract_y
_atom_site_fract_z
_atom_site_occupancy
Te1 Te 0.000 0.000 0.000 1
Pb1 Pb 0.000 0.000 0.500 1
N1 N 0.188 0.250 0.125 1
```

Output
ΔE_f (raw) ... 0.99 eV per atom
Mass density ... 7.3 g/cm³
Electronic total energy ... -19.5 eV per formula unit



A plane-wave DFT calculation with PBE-GGA was carried out for an optimized crystal structure of TePbN.

CIF file:
```
data_TePbN
_cell_length_a 11.019
_cell_length_b 4.644
_cell_length_c 9.280
_cell_angle_alpha 90.00
_cell_angle_beta 100.55
_cell_angle_gamma 90.00
_symmetry_space_group_name_H-M 'P 1 21/c 1'
_symmetry_Int_Tables_number 14
loop_
_symmetry_equiv_pos_as_xyz
'x,y,z'
'-x,-y,-z'
'-x,y+1/2,-z+1/2'
'x,-y+1/2,z+1/2'
loop_
_atom_site_label
_atom_site_type_symbol
_atom_site_fract_x
_atom_site_fract_y
_atom_site_fract_z
_atom_site_occupancy
Te1 Te 0.156 0.250 0.159 1
Pb1 Pb 0.125 0.750 0.402 1
N1 N 0.458 0.570 0.488 1
```

Output
ΔE_f (raw) ... -0.23 eV per atom
Mass density ... 5.0 g/cm³
Electronic total energy ... -15.9 eV per formula unit



A plane-wave DFT calculation with PBE-GGA was carried out for an optimized crystal structure of Te2PbN2.

CIF file:
```
data_Te2PbN2
_cell_length_a 4.307
_cell_length_b 4.307
_cell_length_c 6.126
_cell_angle_alpha 90.00
_cell_angle_beta 90.00
_cell_angle_gamma 90.00
_symmetry_space_group_name_H-M 'P 4/m m m'
_symmetry_Int_Tables_number 123
_symmetry_space_group_name_Hall '-P 4 2'
loop_
_atom_site_label
_atom_site_type_symbol
_atom_site_fract_x
_atom_site_fract_y
_atom_site_fract_z
_atom_site_occupancy
Te1 Te 0.000 0.000 0.000 1
Te2 Te 0.000 0.000 0.500 1
Pb1 Pb 0.500 0.500 0.000 1
N1 N 0.000 0.500 0.500 1
```

Output
ΔE_f (raw) ... 1.27 eV per atom
Mass density ... 7.2 g/cm³
Electronic total energy ... -20.3 eV per formula unit



A plane-wave DFT calculation with PBE-GGA was carried out for an optimized crystal structure of TePbN2.

CIF file:
```
data_TePbN2
_cell_length_a 4.313
_cell_length_b 4.314
_cell_length_c 10.106
_cell_angle_alpha 98.54
_cell_angle_beta 92.54
_cell_angle_gamma 119.96
_symmetry_space_group_name_H-M 'P 1'
_symmetry_Int_Tables_number 1
loop_
_symmetry_equiv_pos_as_xyz
'x,y,z'
loop_
_atom_site_label
_atom_site_type_symbol
_atom_site_fract_x
_atom_site_fract_y
_atom_site_fract_z
_atom_site_occupancy
Te1 Te 0.000 0.000 0.000 1
Pb1 Pb 0.603 0.242 0.827 1
N1 N 0.011 0.776 0.380 1
N2 N 0.942 0.946 0.453 1
```

Output
ΔE_f (raw) ... -0.11 eV per atom
Mass density ... 3.8 g/cm³
Electronic total energy ... -23.9 eV per formula unit



A plane-wave DFT calculation with PBE-GGA was carried out for an optimized crystal structure of TePbN2.

CIF file:
```
data_TePbN2
_cell_length_a 3.5082
_cell_length_b 3.5082
_cell_length_c 20.2124
_cell_angle_alpha 90.00
_cell_angle_beta 90.00
_cell_angle_gamma 120.00
_symmetry_space_group_name_H-M 'R -3 m'
_symmetry_Int_Tables_number 166
_symmetry_space_group_name_Hall '-R 3 2"'
loop_
_atom_site_label
_atom_site_type_symbol
_atom_site_fract_x
_atom_site_fract_y
_atom_site_fract_z
_atom_site_occupancy
Te1 Te 0.0000 0.0000 0.0000 1
Pb1 Pb 0.0000 0.0000 0.5000 1
N1 N 0.0000 0.0000 0.1063 1
```

Output
ΔE_f (raw) ... 0.91 eV per atom
Mass density ... 8.4 g/cm³
Electronic total energy ... -19.9 eV per formula unit



A plane-wave DFT calculation with PBE-GGA was carried out for an optimized crystal structure of TePbN2.

CIF file:
```
data_TePbN2
_cell_length_a 6.296
_cell_length_b 6.296
_cell_length_c 6.296
_cell_angle_alpha 90.00
_cell_angle_beta 90.00
_cell_angle_gamma 90.00
_symmetry_space_group_name_H-M 'F m -3 m'
_symmetry_Int_Tables_number 225
_symmetry_space_group_name_Hall '-F 4 2 3'
loop_
_atom_site_label
_atom_site_type_symbol
_atom_site_fract_x
_atom_site_fract_y
_atom_site_fract_z
_atom_site_occupancy
Te1 Te 0.000 0.000 0.000 1
Pb1 Pb 0.000 0.000 0.500 1
N1 N 0.250 0.250 0.250 1
```

Output
ΔE_f (raw) ... 1.61 eV per atom
Mass density ... 9.7 g/cm³
Electronic total energy ... -17.1 eV per formula unit



A plane-wave DFT calculation with PBE-GGA was carried out for an optimized crystal structure of Te2PbN2.

CIF file:
```
data_Te2PbN2
_cell_length_a 6.049
_cell_length_b 6.049
_cell_length_c 4.531
_cell_angle_alpha 90.00
_cell_angle_beta 90.00
_cell_angle_gamma 90.00
_symmetry_space_group_name_H-M 'P 4/m m m'
_symmetry_Int_Tables_number 123
_symmetry_space_group_name_Hall '-P 4 2'
loop_
_atom_site_label
_atom_site_type_symbol
_atom_site_fract_x
_atom_site_fract_y
_atom_site_fract_z
_atom_site_occupancy
Te1 Te 0.000 0.500 0.000 1
Pb1 Pb 0.000 0.000 0.000 1
N1 N 0.000 0.000 0.500 1
N2 N 0.500 0.500 0.500 1
```

Output
ΔE_f (raw) ... 2.13 eV per atom
Mass density ... 4.9 g/cm³
Electronic total energy ... -16.0 eV per formula unit



Number 1: total magnetization 0.005 μB/atom, calculated volume 18.42 Å³/atom. Number 2: total magnetization 0.243 μB/atom, calculated volume 24.54 Å³/atom. Number 3: total magnetization 0.000 μB/atom, calculated volume 13.59 Å³/atom. Number 4: total magnetization 0.357 μB/atom, calculated volume 20.70 Å³/atom. Number 5: total magnetization 0.000 μB/atom, calculated volume 23.48 Å³/atom. Number 6: total magnetization 0.000 μB/atom, calculated volume 20.65 Å³/atom. Number 7: total magnetization 0.000 μB/atom, calculated volume 38.90 Å³/atom. Number 8: total magnetization 0.000 μB/atom, calculated volume 22.73 Å³/atom. Number 9: total magnetization 0.000 μB/atom, calculated volume 39.89 Å³/atom. Number 10: total magnetization 0.000 μB/atom, calculated volume 17.95 Å³/atom. Number 11: total magnetization 0.000 μB/atom, calculated volume 15.60 Å³/atom. Number 12: total magnetization 1.220 μB/atom, calculated volume 33.16 Å³/atom.